VASP calculation (PBE+U) on a relaxed KSr2WO crystal.

## Properties
- final energy (eV/atom) = -3.287
- magnetization (μB per formula unit) = 2.43
- symmetry = P4/mmm

a b c (Å): 7.237 3.942 7.237
angles (deg): 90.00 90.00 90.00
Each line ends with the local moment (μB).
Fractional positions:
1 Sr 0.500 0.000 0.000  -0.01
2 Sr 0.000 0.000 0.500  -0.02
3 W 0.000 0.000 0.000  2.52
4 O 0.000 0.500 0.000  -0.20
5 K 0.500 0.500 0.500  -0.01